(1)
Density functional theory data (PBEsol) for crystalline KIr2SeI at its relaxed geometry.

```
data_KIr2SeI
_chemical_formula_sum 'K1 Ir2 Se1 I1'
_cell_length_a 4.563
_cell_length_b 4.563
_cell_length_c 6.448
_cell_angle_alpha 90.00
_cell_angle_beta 90.00
_cell_angle_gamma 90.00
_symmetry_space_group_name_H-M 'P 1'
_symmetry_Int_Tables_number 1
loop_
_symmetry_equiv_pos_as_xyz
'x,y,z'
loop_
_atom_site_label
_atom_site_type_symbol
_atom_site_fract_x
_atom_site_fract_y
_atom_site_fract_z
K1 K 0.000 0.000 0.000
Ir1 Ir 0.000 0.500 0.500
Ir2 Ir 0.500 0.000 0.500
Se1 Se 0.000 0.000 0.500
I1 I 0.500 0.500 0.000
```

As for the crystal system: tetragonal. The calculation puts the formation energy (no corrections) at 3.61 eV per formula unit.

***

(2)
Density functional theory data (PBEsol) for crystalline MgZnCd2 at its relaxed geometry.

```
data_MgZnCd2
_chemical_formula_sum 'Mg1 Zn1 Cd2'
_cell_length_a 5.219
_cell_length_b 5.219
_cell_length_c 5.219
_cell_angle_alpha 132.19
_cell_angle_beta 132.19
_cell_angle_gamma 69.93
_symmetry_space_group_name_H-M 'P 1'
_symmetry_Int_Tables_number 1
loop_
_symmetry_equiv_pos_as_xyz
'x,y,z'
loop_
_atom_site_label
_atom_site_type_symbol
_atom_site_fract_x
_atom_site_fract_y
_atom_site_fract_z
Mg1 Mg 0.000 0.000 0.000
Zn1 Zn 0.750 0.250 0.500
Cd1 Cd 0.250 0.750 0.500
Cd2 Cd 0.500 0.500 0.000
```

As for the crystal system: tetragonal. The energy of formation from the pure elements is -26 meV per atom. The value obtained for the distance to the lowest polymorph of the same formula is 0.003 eV/atom.

***

(3)
Density functional theory data (PBEsol) for crystalline Ba3AlGa at its relaxed geometry.

```
data_Ba3AlGa
_chemical_formula_sum 'Ba3 Al1 Ga1'
_cell_length_a 6.365
_cell_length_b 6.365
_cell_length_c 6.365
_cell_angle_alpha 90.00
_cell_angle_beta 90.00
_cell_angle_gamma 90.00
_symmetry_space_group_name_H-M 'P 1'
_symmetry_Int_Tables_number 1
loop_
_symmetry_equiv_pos_as_xyz
'x,y,z'
loop_
_atom_site_label
_atom_site_type_symbol
_atom_site_fract_x
_atom_site_fract_y
_atom_site_fract_z
Ba1 Ba 0.000 0.000 0.500
Ba2 Ba 0.000 0.500 0.000
Ba3 Ba 0.500 0.000 0.000
Al1 Al 0.000 0.000 0.000
Ga1 Ga 0.500 0.500 0.500
```

As for the crystal system: cubic. The energy of formation from the pure elements is 352 meV per atom.

***

(4)
Density functional theory data (PBEsol) for crystalline IrWBr2 at its relaxed geometry.

```
data_IrWBr2
_chemical_formula_sum 'Ir1 W1 Br2'
_cell_length_a 8.910
_cell_length_b 8.910
_cell_length_c 8.910
_cell_angle_alpha 19.71
_cell_angle_beta 19.71
_cell_angle_gamma 19.71
_symmetry_space_group_name_H-M 'P 1'
_symmetry_Int_Tables_number 1
loop_
_symmetry_equiv_pos_as_xyz
'x,y,z'
loop_
_atom_site_label
_atom_site_type_symbol
_atom_site_fract_x
_atom_site_fract_y
_atom_site_fract_z
Ir1 Ir 0.000 0.000 0.000
W1 W 0.500 0.500 0.500
Br1 Br 0.093 0.093 0.093
Br2 Br 0.907 0.907 0.907
```

As for the crystal system: trigonal. The calculation puts the formation energy (no corrections) at 3.42 eV per formula unit. The value obtained for the distance to the lowest polymorph of the same formula is 0.744 eV/atom.

***

(5)
Density functional theory data (PBEsol) for crystalline Ba5As3ClO12 at its relaxed geometry.

```
data_Ba5As3ClO12
_chemical_formula_sum 'Ba10 As6 Cl2 O24'
_cell_length_a 10.569
_cell_length_b 10.569
_cell_length_c 7.743
_cell_angle_alpha 90.00
_cell_angle_beta 90.00
_cell_angle_gamma 120.00
_symmetry_space_group_name_H-M 'P 1'
_symmetry_Int_Tables_number 1
loop_
_symmetry_equiv_pos_as_xyz
'x,y,z'
loop_
_atom_site_label
_atom_site_type_symbol
_atom_site_fract_x
_atom_site_fract_y
_atom_site_fract_z
Ba1 Ba 0.011 0.756 0.250
Ba2 Ba 0.244 0.255 0.250
Ba3 Ba 0.255 0.011 0.750
Ba4 Ba 0.333 0.667 0.001
Ba5 Ba 0.333 0.667 0.499
Ba6 Ba 0.667 0.333 0.501
Ba7 Ba 0.667 0.333 0.999
Ba8 Ba 0.745 0.989 0.250
Ba9 Ba 0.756 0.745 0.750
Ba10 Ba 0.989 0.244 0.750
As1 As 0.035 0.629 0.750
As2 As 0.371 0.406 0.750
As3 As 0.406 0.035 0.250
As4 As 0.594 0.965 0.750
As5 As 0.629 0.594 0.250
As6 As 0.965 0.371 0.250
Cl1 Cl 0.000 0.000 0.000
Cl2 Cl 0.000 0.000 0.500
O1 O 0.096 0.740 0.572
O2 O 0.096 0.740 0.928
O3 O 0.123 0.529 0.750
O4 O 0.151 0.480 0.250
O5 O 0.260 0.356 0.572
O6 O 0.260 0.356 0.928
O7 O 0.329 0.849 0.250
O8 O 0.356 0.096 0.072
O9 O 0.356 0.096 0.428
O10 O 0.406 0.877 0.750
O11 O 0.471 0.594 0.750
O12 O 0.480 0.329 0.750
O13 O 0.520 0.671 0.250
O14 O 0.529 0.406 0.250
O15 O 0.594 0.123 0.250
O16 O 0.644 0.904 0.572
O17 O 0.644 0.904 0.928
O18 O 0.671 0.151 0.750
O19 O 0.740 0.644 0.072
O20 O 0.740 0.644 0.428
O21 O 0.849 0.520 0.750
O22 O 0.877 0.471 0.250
O23 O 0.904 0.260 0.072
O24 O 0.904 0.260 0.428
```

As for the crystal system: hexagonal. The calculation puts the formation energy (no corrections) at -48.64 eV per formula unit.

***

(6)
Density functional theory data (PBEsol) for crystalline YPBr2 at its relaxed geometry.

```
data_YPBr2
_chemical_formula_sum 'Y1 P1 Br2'
_cell_length_a 4.511
_cell_length_b 4.511
_cell_length_c 4.880
_cell_angle_alpha 90.00
_cell_angle_beta 90.00
_cell_angle_gamma 90.77
_symmetry_space_group_name_H-M 'P 1'
_symmetry_Int_Tables_number 1
loop_
_symmetry_equiv_pos_as_xyz
'x,y,z'
loop_
_atom_site_label
_atom_site_type_symbol
_atom_site_fract_x
_atom_site_fract_y
_atom_site_fract_z
Y1 Y 0.000 0.000 0.000
P1 P 0.500 0.500 0.000
Br1 Br 0.241 0.241 0.500
Br2 Br 0.759 0.759 0.500
```

As for the crystal system: orthorhombic. The calculation puts the formation energy (no corrections) at -2.45 eV per formula unit. The value obtained for the distance to the lowest polymorph of the same formula is 0.508 eV/atom.

***

| no. | VASP energy (eV/atom) |
| --- | --- |
| 1 | -4.558 |
| 2 | -1.450 |
| 3 | -2.424 |
| 4 | -5.988 |
| 5 | -6.652 |
| 6 | -4.701 |